Record 1
Below is KSbTe2Au after structural relaxation, with properties calculated at the PBE level.

The electronic total energy is -1.729 eV/atom. As for the formation energy (no corrections): 1228 meV per atom. The size of the total moment is 0.0 Bohr magnetons per cell.

It has space group P4/mmm (No. 123), with a = 5.907 Å, b = 5.907 Å, c = 5.914 Å, α = 90.00°, β = 90.00° and γ = 90.00°. The inequivalent atoms are K at (0.000, 0.000, 0.000), Sb at (0.000, 0.000, 0.500), Te at (0.000, 0.500, 0.000) and Au at (0.500, 0.500, 0.500).

***

Record 2
Below is In2AgPt2 after structural relaxation, with properties calculated at the PBE level.

The value obtained for the formation energy is -0.348 eV per atom. The electronic total energy is -4.430 eV/atom. The size of the total moment is 0.0 Bohr magnetons per cell.

It has space group P4/mbm (No. 127), with a = 7.533 Å, b = 7.533 Å, c = 3.354 Å, α = 90.00°, β = 90.00° and γ = 90.00°. The inequivalent atoms are In at (0.162, 0.338, 0.000), Ag at (0.000, 0.000, 0.500) and Pt at (0.138, 0.638, 0.500).

***

Record 3
Below is Er3Hg4Pd4 after structural relaxation, with properties calculated at the PBE level.

The value obtained for the formation energy is -0.564 eV per atom. The electronic total energy is -3.806 eV/atom. The size of the total moment is 0.0 Bohr magnetons per cell.

It has space group Immm (No. 71), with a = 3.635 Å, b = 7.891 Å, c = 16.578 Å, α = 90.00°, β = 90.00° and γ = 90.00°. The inequivalent atoms are Er at (0.000, 0.000, 0.000), Er at (0.000, 0.500, 0.109), Hg at (0.000, 0.314, 0.341), Pd at (0.000, 0.000, 0.256) and Pd at (0.000, 0.192, 0.500).

***

Record 4
Below is Ac2Pd9Pb3 after structural relaxation, with properties calculated at the PBE level.

The value obtained for the formation energy is -0.526 eV per atom. The electronic total energy is -5.246 eV/atom. The size of the total moment is 0.0 Bohr magnetons per cell.

It has space group Cmcm (No. 63), with a = 14.409 Å, b = 8.403 Å, c = 9.583 Å, α = 90.00°, β = 90.00° and γ = 90.00°. The inequivalent atoms are Ac at (0.155, 0.177, 0.250), Pd at (0.000, 0.156, 0.750), Pd at (0.000, 0.338, 0.033), Pd at (0.094, 0.456, 0.750), Pd at (0.165, 0.181, 0.594), Pb at (0.000, 0.000, 0.000) and Pb at (0.184, 0.500, 0.000).

***

Record 5
Below is Nd2Y5ErTm after structural relaxation, with properties calculated at the PBE level.

The value obtained for the formation energy is 0.264 eV per atom. The electronic total energy is -5.391 eV/atom. The size of the total moment is 0.0 Bohr magnetons per cell.

It has space group I4/mcm (No. 140), with a = 8.588 Å, b = 8.588 Å, c = 15.911 Å, α = 90.00°, β = 90.00° and γ = 90.00°. The inequivalent atoms are Nd at (0.118, 0.382, 0.000), Y at (0.000, 0.000, 0.000), Y at (0.213, 0.287, 0.359), Er at (0.000, 0.500, 0.250) and Tm at (0.000, 0.000, 0.250).

***

Record 6
Below is NaCdC3 after structural relaxation, with properties calculated at the PBE level.

The value obtained for the formation energy is 3.509 eV per atom. The electronic total energy is -2.472 eV/atom. The size of the total moment is 0.0 Bohr magnetons per cell.

It has space group Pm-3m (No. 221), with a = 4.253 Å, b = 4.253 Å, c = 4.253 Å, α = 90.00°, β = 90.00° and γ = 90.00°. The inequivalent atoms are Na at (0.000, 0.000, 0.000), Cd at (0.500, 0.500, 0.500) and C at (0.000, 0.000, 0.500).